# 1
{
  "formula": "Th2NiTe",
  "functional": "PBE-GGA",
  "state": "relaxed",
  "lattice": [[4.062, 0.000, 0.000], [-2.031, 3.518, 0.000], [0.000, 0.000, 7.767]],
  "species": ["Th", "Th", "Ni", "Te"],
  "fractional_positions": [[0.333, 0.667, 0.293], [0.667, 0.333, 0.707], [0.000, 0.000, 0.500], [0.000, 0.000, 0.000]],
  "e_form_raw_ev_per_atom": -0.703,
  "magmom_total_mub_per_fu": 0.00,
  "n_ef_per_ev_atom": 0.57,
  "vol_a3_per_cell": 111,
  "space_group": "P-3m1"
}

=====

# 2
{
  "formula": "ThNiTe2",
  "functional": "PBE-GGA",
  "state": "relaxed",
  "lattice": [[4.146, -7.952, 0.000], [4.146, 7.952, 0.000], [0.000, 0.000, 7.857]],
  "species": ["Th", "Th", "Th", "Th", "Ni", "Ni", "Ni", "Ni", "Te", "Te", "Te", "Te", "Te", "Te", "Te", "Te"],
  "fractional_positions": [[0.250, 0.750, 0.000], [0.250, 0.750, 0.500], [0.750, 0.250, 0.000], [0.750, 0.250, 0.500], [0.064, 0.436, 0.250], [0.436, 0.064, 0.750], [0.564, 0.936, 0.250], [0.936, 0.564, 0.750], [0.090, 0.910, 0.752], [0.098, 0.402, 0.750], [0.402, 0.098, 0.250], [0.410, 0.590, 0.252], [0.590, 0.410, 0.748], [0.598, 0.902, 0.750], [0.902, 0.598, 0.250], [0.910, 0.090, 0.248]],
  "e_form_raw_ev_per_atom": -0.841,
  "magmom_total_mub_per_fu": 0.00,
  "n_ef_per_ev_atom": 0.14,
  "vol_a3_per_cell": 518,
  "space_group": "Cmce"
}

=====

# 3
{
  "formula": "Th3Ni5Te12",
  "functional": "PBE-GGA",
  "state": "relaxed",
  "lattice": [[-8.251, 8.251, 8.251], [8.251, -8.251, 8.251], [8.251, 8.251, -8.251]],
  "species": ["Th", "Th", "Th", "Th", "Th", "Th", "Th", "Th", "Th", "Th", "Th", "Th", "Ni", "Ni", "Ni", "Ni", "Ni", "Ni", "Ni", "Ni", "Ni", "Ni", "Ni", "Ni", "Ni", "Ni", "Ni", "Ni", "Ni", "Ni", "Ni", "Ni", "Te", "Te", "Te", "Te", "Te", "Te", "Te", "Te", "Te", "Te", "Te", "Te", "Te", "Te", "Te", "Te", "Te", "Te", "Te", "Te", "Te", "Te", "Te", "Te", "Te", "Te", "Te", "Te", "Te", "Te", "Te", "Te", "Te", "Te", "Te", "Te", "Te", "Te", "Te", "Te", "Te", "Te", "Te", "Te", "Te", "Te", "Te", "Te"],
  "fractional_positions": [[0.125, 0.250, 0.375], [0.125, 0.375, 0.750], [0.250, 0.375, 0.125], [0.250, 0.875, 0.625], [0.375, 0.125, 0.250], [0.375, 0.750, 0.125], [0.625, 0.250, 0.875], [0.625, 0.875, 0.750], [0.750, 0.125, 0.375], [0.750, 0.625, 0.875], [0.875, 0.625, 0.250], [0.875, 0.750, 0.625], [0.000, 0.000, 0.000], [0.000, 0.000, 0.500], [0.000, 0.500, 0.000], [0.000, 0.500, 0.500], [0.125, 0.750, 0.875], [0.125, 0.875, 0.250], [0.250, 0.125, 0.875], [0.250, 0.625, 0.375], [0.375, 0.250, 0.625], [0.375, 0.625, 0.750], [0.500, 0.000, 0.000], [0.500, 0.000, 0.500], [0.500, 0.500, 0.000], [0.500, 0.500, 0.500], [0.625, 0.375, 0.250], [0.625, 0.750, 0.375], [0.750, 0.375, 0.625], [0.750, 0.875, 0.125], [0.875, 0.125, 0.750], [0.875, 0.250, 0.125], [0.025, 0.202, 0.115], [0.025, 0.323, 0.910], [0.087, 0.702, 0.677], [0.087, 0.885, 0.410], [0.090, 0.615, 0.413], [0.090, 0.975, 0.677], [0.115, 0.025, 0.202], [0.115, 0.590, 0.913], [0.177, 0.202, 0.587], [0.177, 0.475, 0.590], [0.202, 0.115, 0.025], [0.202, 0.587, 0.177], [0.298, 0.323, 0.913], [0.298, 0.475, 0.385], [0.323, 0.910, 0.025], [0.323, 0.913, 0.298], [0.385, 0.298, 0.475], [0.385, 0.587, 0.910], [0.410, 0.087, 0.885], [0.410, 0.823, 0.525], [0.413, 0.090, 0.615], [0.413, 0.823, 0.798], [0.475, 0.385, 0.298], [0.475, 0.590, 0.177], [0.525, 0.410, 0.823], [0.525, 0.615, 0.702], [0.587, 0.177, 0.202], [0.587, 0.910, 0.385], [0.590, 0.177, 0.475], [0.590, 0.913, 0.115], [0.615, 0.413, 0.090], [0.615, 0.702, 0.525], [0.677, 0.087, 0.702], [0.677, 0.090, 0.975], [0.702, 0.525, 0.615], [0.702, 0.677, 0.087], [0.798, 0.413, 0.823], [0.798, 0.885, 0.975], [0.823, 0.525, 0.410], [0.823, 0.798, 0.413], [0.885, 0.410, 0.087], [0.885, 0.975, 0.798], [0.910, 0.025, 0.323], [0.910, 0.385, 0.587], [0.913, 0.115, 0.590], [0.913, 0.298, 0.323], [0.975, 0.677, 0.090], [0.975, 0.798, 0.885]],
  "e_form_raw_ev_per_atom": -0.529,
  "magmom_total_mub_per_fu": 0.00,
  "n_ef_per_ev_atom": 0.69,
  "vol_a3_per_cell": 2247,
  "space_group": "Ia-3d"
}

=====

# 4
{
  "formula": "Th3NiTe6",
  "functional": "PBE-GGA",
  "state": "relaxed",
  "lattice": [[6.172, -7.387, 0.000], [6.172, 7.387, 0.000], [0.000, 0.000, 7.173]],
  "species": ["Th", "Th", "Th", "Th", "Th", "Th", "Ni", "Ni", "Te", "Te", "Te", "Te", "Te", "Te", "Te", "Te", "Te", "Te", "Te", "Te"],
  "fractional_positions": [[0.117, 0.883, 0.500], [0.229, 0.433, 0.615], [0.433, 0.229, 0.115], [0.567, 0.771, 0.615], [0.771, 0.567, 0.115], [0.883, 0.117, 0.000], [0.287, 0.713, 0.225], [0.713, 0.287, 0.725], [0.053, 0.581, 0.336], [0.128, 0.196, 0.309], [0.196, 0.128, 0.809], [0.274, 0.726, 0.834], [0.419, 0.947, 0.336], [0.458, 0.542, 0.293], [0.542, 0.458, 0.793], [0.581, 0.053, 0.836], [0.726, 0.274, 0.334], [0.804, 0.872, 0.309], [0.872, 0.804, 0.809], [0.947, 0.419, 0.836]],
  "e_form_raw_ev_per_atom": -1.003,
  "magmom_total_mub_per_fu": 0.00,
  "n_ef_per_ev_atom": 0.02,
  "vol_a3_per_cell": 654,
  "space_group": "Cmc2_1"
}

=====

# 5
{
  "formula": "Th2NiTe",
  "functional": "PBE-GGA",
  "state": "relaxed",
  "lattice": [[4.157, 0.000, 0.000], [-2.079, 3.600, 0.000], [0.000, 0.000, 22.548]],
  "species": ["Th", "Th", "Th", "Th", "Th", "Th", "Ni", "Ni", "Ni", "Te", "Te", "Te"],
  "fractional_positions": [[0.000, 0.000, 0.234], [0.000, 0.000, 0.766], [0.333, 0.667, 0.433], [0.333, 0.667, 0.901], [0.667, 0.333, 0.099], [0.667, 0.333, 0.567], [0.000, 0.000, 0.500], [0.333, 0.667, 0.167], [0.667, 0.333, 0.833], [0.000, 0.000, 0.000], [0.333, 0.667, 0.667], [0.667, 0.333, 0.333]],
  "e_form_raw_ev_per_atom": -0.726,
  "magmom_total_mub_per_fu": 0.00,
  "n_ef_per_ev_atom": 1.14,
  "vol_a3_per_cell": 337,
  "space_group": "R-3m"
}

=====

# 6
{
  "formula": "Th4Ni2Te5",
  "functional": "PBE-GGA",
  "state": "relaxed",
  "lattice": [[7.462, 0.000, 0.000], [0.000, 4.003, 0.000], [-2.734, 0.000, 11.534]],
  "species": ["Th", "Th", "Th", "Th", "Ni", "Ni", "Te", "Te", "Te", "Te", "Te"],
  "fractional_positions": [[0.203, 0.000, 0.196], [0.296, 0.000, 0.562], [0.704, 0.000, 0.438], [0.797, 0.000, 0.804], [0.397, 0.500, 0.403], [0.603, 0.500, 0.597], [0.000, 0.500, 0.000], [0.039, 0.500, 0.354], [0.468, 0.500, 0.783], [0.532, 0.500, 0.217], [0.961, 0.500, 0.646]],
  "e_form_raw_ev_per_atom": -0.981,
  "magmom_total_mub_per_fu": 0.00,
  "n_ef_per_ev_atom": 0.52,
  "vol_a3_per_cell": 345,
  "space_group": "P2/m"
}

=====

# 7
{
  "formula": "Th6NiTe5",
  "functional": "PBE-GGA",
  "state": "relaxed",
  "lattice": [[3.912, -6.640, 0.000], [3.912, 6.640, 0.000], [-2.500, 0.000, 7.113]],
  "species": ["Th", "Th", "Th", "Th", "Th", "Th", "Ni", "Te", "Te", "Te", "Te", "Te"],
  "fractional_positions": [[0.070, 0.367, 0.721], [0.206, 0.206, 0.245], [0.367, 0.070, 0.721], [0.633, 0.930, 0.279], [0.794, 0.794, 0.755], [0.930, 0.633, 0.279], [0.000, 0.000, 0.500], [0.190, 0.810, 0.000], [0.342, 0.658, 0.500], [0.500, 0.500, 0.000], [0.658, 0.342, 0.500], [0.810, 0.190, 0.000]],
  "e_form_raw_ev_per_atom": -0.957,
  "magmom_total_mub_per_fu": 0.00,
  "n_ef_per_ev_atom": 0.83,
  "vol_a3_per_cell": 370,
  "space_group": "C2/m"
}

=====

# 8
{
  "formula": "Th5NiTe4",
  "functional": "PBE-GGA",
  "state": "relaxed",
  "lattice": [[-4.934, 4.934, 3.117], [4.934, -4.934, 3.117], [4.934, 4.934, -3.117]],
  "species": ["Th", "Th", "Th", "Th", "Th", "Ni", "Te", "Te", "Te", "Te"],
  "fractional_positions": [[0.000, 0.000, 0.000], [0.238, 0.600, 0.839], [0.400, 0.238, 0.638], [0.600, 0.762, 0.362], [0.762, 0.400, 0.161], [0.501, 0.501, 0.000], [0.082, 0.314, 0.396], [0.314, 0.918, 0.232], [0.686, 0.082, 0.768], [0.918, 0.686, 0.604]],
  "e_form_raw_ev_per_atom": -0.917,
  "magmom_total_mub_per_fu": 0.00,
  "n_ef_per_ev_atom": 0.88,
  "vol_a3_per_cell": 303,
  "space_group": "I4"
}

=====

# 9
{
  "formula": "ThNiTe2",
  "functional": "PBE-GGA",
  "state": "relaxed",
  "lattice": [[3.668, 0.000, 0.000], [-1.834, 3.176, 0.000], [0.000, 0.000, 27.956]],
  "species": ["Th", "Th", "Th", "Ni", "Ni", "Ni", "Te", "Te", "Te", "Te", "Te", "Te"],
  "fractional_positions": [[0.000, 0.000, 0.000], [0.333, 0.667, 0.667], [0.667, 0.333, 0.333], [0.000, 0.000, 0.500], [0.333, 0.667, 0.167], [0.667, 0.333, 0.833], [0.000, 0.000, 0.114], [0.000, 0.000, 0.886], [0.333, 0.667, 0.553], [0.333, 0.667, 0.781], [0.667, 0.333, 0.219], [0.667, 0.333, 0.447]],
  "e_form_raw_ev_per_atom": -0.108,
  "magmom_total_mub_per_fu": 0.00,
  "n_ef_per_ev_atom": 0.84,
  "vol_a3_per_cell": 326,
  "space_group": "R-3m"
}